(1)
The following is a GGA-PBEsol calculation of an optimized crystal structure of InOsCl2, from Alexandria via LeMat-Bulk.

Cell: 2.799 4.153 8.505 Å, 90.00 90.00 90.00°
Fractional positions:
In 0.000 0.000 0.683
Cl 0.000 0.000 0.975
Cl 0.500 0.500 0.294
Os 0.500 0.500 0.549

Summary:
The value obtained for the density of states at the Fermi level is 2.2 states/eV/f.u. Its symmetry is Pmm2, No. 25. The crystal system is orthorhombic. For the formation energy from raw total energies, the calculation gives 253 meV per atom.



(2)
The following is a GGA-PBEsol calculation of an optimized crystal structure of BeCu2, from Alexandria via LeMat-Bulk.

Cell: 7.004 7.004 7.004 Å, 60.00 60.00 60.00°
Fractional positions:
Cu 0.125 0.125 0.625
Cu 0.561 0.939 0.939
Cu 0.125 0.625 0.125
Cu 0.561 0.939 0.561
Cu 0.311 0.311 0.689
Cu 0.689 0.689 0.311
Cu 0.689 0.311 0.311
Cu 0.625 0.125 0.125
Cu 0.311 0.689 0.689
Cu 0.689 0.311 0.689
Cu 0.939 0.561 0.939
Cu 0.939 0.939 0.561
Cu 0.311 0.689 0.311
Cu 0.939 0.561 0.561
Cu 0.125 0.125 0.125
Cu 0.561 0.561 0.939
Be 0.911 0.911 0.911
Be 0.982 0.339 0.339
Be 0.268 0.911 0.911
Be 0.339 0.982 0.339
Be 0.911 0.911 0.268
Be 0.911 0.268 0.911
Be 0.339 0.339 0.982
Be 0.339 0.339 0.339

Summary:
Its energy relative to the elements is -0.01 eV/atom. The value obtained for the density of states at the Fermi level is 1.0 states/eV/f.u. Its symmetry is Fd-3m, No. 227. The crystal system is cubic.